Record 1
First-principles (GGA-PBE) data for a relaxed Sr4MgTl5 crystal, as listed in Alexandria via LeMat-Bulk.

```
data_Sr4MgTl5
_cell_length_a 4.0069
_cell_length_b 4.0069
_cell_length_c 20.1516
_cell_angle_alpha 90.00
_cell_angle_beta 90.00
_cell_angle_gamma 90.00
_space_group_name_H-M_alt 'P 4/m m m'
_space_group_IT_number 123
_space_group_name_Hall '-P 4 2'
loop_
_atom_site_label
_atom_site_fract_x
_atom_site_fract_y
_atom_site_fract_z
_atom_site_occupancy
Sr1 0.0000 0.0000 0.1035 1
Sr2 0.0000 0.0000 0.3118 1
Mg1 0.0000 0.0000 0.5000 1
Tl1 0.5000 0.5000 0.0000 1
Tl2 0.5000 0.5000 0.2063 1
Tl3 0.5000 0.5000 0.4172 1
```

ΔE_f in meV/atom: -346

Record 2
First-principles (GGA-PBE) data for a relaxed RbAlAgSb2 crystal, as listed in Alexandria via LeMat-Bulk.

```
data_RbAlAgSb2
_cell_length_a 7.0227
_cell_length_b 12.4457
_cell_length_c 7.6597
_cell_angle_alpha 90.00
_cell_angle_beta 90.00
_cell_angle_gamma 90.00
_space_group_name_H-M_alt 'C m m e'
_space_group_IT_number 67
_space_group_name_Hall '-C 2a 2'
loop_
_atom_site_label
_atom_site_fract_x
_atom_site_fract_y
_atom_site_fract_z
_atom_site_occupancy
Rb1 0.0000 0.2500 0.2441 1
Al1 0.2500 0.0000 0.5000 1
Ag1 0.0000 0.0000 0.0000 1
Sb1 0.0000 0.1136 0.7006 1
```

Uncorrected formation energy in meV per atom: -143

Record 3
First-principles (GGA-PBE) data for a relaxed MgHIr2 crystal, as listed in Alexandria via LeMat-Bulk.

```
data_MgHIr2
_cell_length_a 4.7032
_cell_length_b 4.7048
_cell_length_c 5.4516
_cell_angle_alpha 104.96
_cell_angle_beta 105.00
_cell_angle_gamma 110.95
_space_group_name_H-M_alt 'P 1'
_space_group_IT_number 1
loop_
_space_group_symop_operation_xyz
'x,y,z'
loop_
_atom_site_label
_atom_site_fract_x
_atom_site_fract_y
_atom_site_fract_z
_atom_site_occupancy
Mg1 0.0000 0.0000 0.0000 1
Mg2 0.1517 0.8485 0.5000 1
H1 0.0867 0.3256 0.4478 1
H2 0.6733 0.9121 0.5535 1
Ir1 0.0728 0.4400 0.7749 1
Ir2 0.5294 0.4706 0.5005 1
Ir3 0.5615 0.9283 0.2269 1
Ir4 0.6152 0.3852 0.0006 1
```

E above lowest polymorph in eV per atom: 0.0395

Record 4
First-principles (GGA-PBE) data for a relaxed CoPbS2N crystal, as listed in Alexandria via LeMat-Bulk.

```
data_CoPbS2N
_cell_length_a 4.8768
_cell_length_b 4.8768
_cell_length_c 3.4741
_cell_angle_alpha 90.00
_cell_angle_beta 90.00
_cell_angle_gamma 90.00
_space_group_name_H-M_alt 'P 4/m m m'
_space_group_IT_number 123
_space_group_name_Hall '-P 4 2'
loop_
_atom_site_label
_atom_site_fract_x
_atom_site_fract_y
_atom_site_fract_z
_atom_site_occupancy
Co1 0.0000 0.0000 0.0000 1
Pb1 0.5000 0.5000 0.5000 1
S1 0.0000 0.5000 0.0000 1
N1 0.0000 0.0000 0.5000 1
```

E above lowest polymorph in eV per atom: 0.0000
Uncorrected formation energy in meV per atom: 204

Record 5
First-principles (GGA-PBE) data for a relaxed LaNd3Dy6Tm2 crystal, as listed in Alexandria via LeMat-Bulk.

```
data_LaNd3Dy6Tm2
_cell_length_a 6.2143
_cell_length_b 10.7597
_cell_length_c 11.8789
_cell_angle_alpha 90.00
_cell_angle_beta 100.01
_cell_angle_gamma 90.00
_space_group_name_H-M_alt 'C 1 2/m 1'
_space_group_IT_number 12
loop_
_space_group_symop_operation_xyz
'x,y,z'
'-x,-y,-z'
'-x,y,-z'
'x,-y,z'
'x+1/2,y+1/2,z'
'-x+1/2,-y+1/2,-z'
'-x+1/2,y+1/2,-z'
'x+1/2,-y+1/2,z'
loop_
_atom_site_label
_atom_site_fract_x
_atom_site_fract_y
_atom_site_fract_z
_atom_site_occupancy
La1 0.0000 0.0000 0.0000 1
Nd1 0.0000 0.1670 0.5000 1
Nd2 0.0000 0.5000 0.5000 1
Dy1 0.2481 0.5000 0.2482 1
Dy2 0.2495 0.3326 0.7520 1
Tm1 0.0000 0.3332 0.0000 1
```

ΔE_f in meV/atom: 21

Record 6
First-principles (GGA-PBE) data for a relaxed PuBi2PbO8 crystal, as listed in Alexandria via LeMat-Bulk.

```
data_PuBi2PbO8
_cell_length_a 7.3668
_cell_length_b 7.3803
_cell_length_c 7.2328
_cell_angle_alpha 90.00
_cell_angle_beta 90.00
_cell_angle_gamma 90.00
_space_group_name_H-M_alt 'C m m m'
_space_group_IT_number 65
_space_group_name_Hall '-C 2 2'
loop_
_atom_site_label
_atom_site_fract_x
_atom_site_fract_y
_atom_site_fract_z
_atom_site_occupancy
Pu1 0.0000 0.0000 0.0000 1
Bi1 0.0000 0.5000 0.2507 1
Pb1 0.0000 0.0000 0.5000 1
O1 0.0000 0.1851 0.2093 1
O2 0.1824 0.5000 0.5000 1
O3 0.2232 0.5000 0.0000 1
```

Uncorrected formation energy in meV per atom: -1539

So what do the calculations give for N(E_F)? Going down the list: 0.58; 0.45; 0.44; 0.46; 1.31; 0.42 states/eV/atom.